The following is a DFT calculation (GGA-PBE) of crystalline CaHgCl2 at its relaxed geometry.

The structure in CIF format:
```
data_CaHgCl2
_chemical_formula_sum 'Ca3 Hg3 Cl6'
_space_group_name_H-M_alt 'R -3 m'
_space_group_IT_number 166
_space_group_name_Hall '-R 3 2"'
_cell_length_a 4.1031
_cell_length_b 4.1031
_cell_length_c 32.9889
_cell_angle_alpha 90.00
_cell_angle_beta 90.00
_cell_angle_gamma 120.00
loop_
_atom_site_label
_atom_site_fract_x
_atom_site_fract_y
_atom_site_fract_z
Ca1 0.0000 0.0000 0.0000
Hg1 0.0000 0.0000 0.5000
Cl1 0.0000 0.0000 0.3762
```

* polymorph energy (0 for the lowest one): 0.0 kJ per mole of atoms
* raw formation energy: -1.764 eV per atom
* Fermi-level density of states: 0.00 states/eV/atom
* uncorrected energy: -39.2 eV/cell